This record from the Alexandria database describes SnBP2 after structural relaxation. The functional is PBE.

The space group is Fm-3m (No. 225) and the conventional cell measures 6.384, 6.384 and 6.384 Å, with angles of 90.00, 90.00 and 90.00 degrees. The asymmetric unit holds Sn at (0.000, 0.000, 0.000), B at (0.000, 0.000, 0.500) and P at (0.250, 0.250, 0.250).

For the formation energy from the elements, the calculation gives 476 kJ/mol of formula units. The total energy comes out at -4.14 eV/atom. As for the calculated density: 4.9 g/cm³.

---

This record from the Alexandria database describes Sn2BP2 after structural relaxation. The functional is PBE.

The space group is P4/mbm (No. 127) and the conventional cell measures 6.907, 6.907 and 4.681 Å, with angles of 90.00, 90.00 and 90.00 degrees. The asymmetric unit holds Sn at (0.249, 0.251, 0.000), B at (0.000, 0.000, 0.000) and P at (0.108, 0.392, 0.500).

For the formation energy from the elements, the calculation gives 371 kJ/mol of formula units. The total energy comes out at -4.33 eV/atom. As for the calculated density: 4.6 g/cm³.

---

This record from the Alexandria database describes SnB2P after structural relaxation. The functional is PBE.

The space group is I-42d (No. 122) and the conventional cell measures 4.961, 4.961 and 9.596 Å, with angles of 90.00, 90.00 and 90.00 degrees. The asymmetric unit holds Sn at (0.000, 0.000, 0.000), B at (0.192, 0.250, 0.625) and P at (0.000, 0.000, 0.500).

For the formation energy from the elements, the calculation gives 96 kJ/mol of formula units. The total energy comes out at -5.44 eV/atom. As for the calculated density: 4.8 g/cm³.

---

This record from the Alexandria database describes SnBP2 after structural relaxation. The functional is PBE.

The space group is I-42d (No. 122) and the conventional cell measures 5.738, 5.738 and 8.518 Å, with angles of 90.00, 90.00 and 90.00 degrees. The asymmetric unit holds Sn at (0.000, 0.000, 0.000), B at (0.000, 0.000, 0.500) and P at (0.154, 0.250, 0.625).

For the formation energy from the elements, the calculation gives 35 kJ/mol of formula units. The total energy comes out at -5.28 eV/atom. As for the calculated density: 4.5 g/cm³.

---

This record from the Alexandria database describes Sn2BP2 after structural relaxation. The functional is PBE.

The space group is I4/mmm (No. 139) and the conventional cell measures 3.325, 3.325 and 16.990 Å, with angles of 90.00, 90.00 and 90.00 degrees. The asymmetric unit holds Sn at (0.000, 0.000, 0.089), B at (0.000, 0.000, 0.500) and P at (0.000, 0.500, 0.250).

For the formation energy from the elements, the calculation gives 343 kJ/mol of formula units. The total energy comes out at -4.39 eV/atom. As for the calculated density: 5.5 g/cm³.

---

This record from the Alexandria database describes SnBP2 after structural relaxation. The functional is PBE.

The space group is R-3m (No. 166, hexagonal axes) and the conventional cell measures 4.2341, 4.2341 and 18.5709 Å, with angles of 90.00, 90.00 and 120.00 degrees. The asymmetric unit holds Sn at (0.0000, 0.0000, 0.0000), B at (0.0000, 0.0000, 0.5000) and P at (0.0000, 0.0000, 0.4044).

For the formation energy from the elements, the calculation gives 149 kJ/mol of formula units. The total energy comes out at -4.99 eV/atom. As for the calculated density: 3.3 g/cm³.

---

This record from the Alexandria database describes Sn3BP after structural relaxation. The functional is PBE.

The space group is Pm-3m (No. 221) and the conventional cell measures 4.812, 4.812 and 4.812 Å, with angles of 90.00, 90.00 and 90.00 degrees. The asymmetric unit holds Sn at (0.000, 0.000, 0.500), B at (0.000, 0.000, 0.000) and P at (0.500, 0.500, 0.500).

For the formation energy from the elements, the calculation gives 325 kJ/mol of formula units. The total energy comes out at -4.15 eV/atom. As for the calculated density: 5.9 g/cm³.

---

This record from the Alexandria database describes Sn2BP after structural relaxation. The functional is PBE.

The space group is I-42d (No. 122) and the conventional cell measures 5.640, 5.640 and 11.168 Å, with angles of 90.00, 90.00 and 90.00 degrees. The asymmetric unit holds Sn at (0.201, 0.250, 0.125), B at (0.000, 0.000, 0.000) and P at (0.000, 0.000, 0.500).

For the formation energy from the elements, the calculation gives 66 kJ/mol of formula units. The total energy comes out at -4.85 eV/atom. As for the calculated density: 5.2 g/cm³.

---

This record from the Alexandria database describes SnB2P after structural relaxation. The functional is PBE.

The space group is Fm-3m (No. 225) and the conventional cell measures 5.977, 5.977 and 5.977 Å, with angles of 90.00, 90.00 and 90.00 degrees. The asymmetric unit holds Sn at (0.000, 0.000, 0.000), B at (0.250, 0.250, 0.250) and P at (0.000, 0.000, 0.500).

For the formation energy from the elements, the calculation gives 605 kJ/mol of formula units. The total energy comes out at -4.12 eV/atom. As for the calculated density: 5.3 g/cm³.

---

This record from the Alexandria database describes Sn2BP after structural relaxation. The functional is PBE.

The space group is Fm-3m (No. 225) and the conventional cell measures 6.701, 6.701 and 6.701 Å, with angles of 90.00, 90.00 and 90.00 degrees. The asymmetric unit holds Sn at (0.250, 0.250, 0.250), B at (0.000, 0.000, 0.000) and P at (0.000, 0.000, 0.500).

For the formation energy from the elements, the calculation gives 371 kJ/mol of formula units. The total energy comes out at -4.06 eV/atom. As for the calculated density: 6.2 g/cm³.

---

This record from the Alexandria database describes SnB2TeP after structural relaxation. The functional is PBE.

The space group is P4/mmm (No. 123) and the conventional cell measures 4.439, 4.439 and 5.929 Å, with angles of 90.00, 90.00 and 90.00 degrees. The asymmetric unit holds Sn at (0.000, 0.000, 0.000), B at (0.000, 0.500, 0.000), Te at (0.000, 0.000, 0.500) and P at (0.500, 0.500, 0.500).

The value obtained for the formation energy without anion corrections is 1.79 eV per atom. The total energy comes out at -3.39 eV/atom. As for the calculated density: 4.2 g/cm³.

---

This record from the Alexandria database describes YSn2BP after structural relaxation. The functional is PBE.

The space group is P4/mmm (No. 123) and the conventional cell measures 4.589, 4.589 and 5.223 Å, with angles of 90.00, 90.00 and 90.00 degrees. The asymmetric unit holds Y at (0.000, 0.000, 0.000), Sn at (0.000, 0.500, 0.500), B at (0.000, 0.000, 0.500) and P at (0.500, 0.500, 0.000).

For the formation energy from the elements, the calculation gives 73 kJ/mol of formula units. The total energy comes out at -5.16 eV/atom. As for the calculated density: 5.6 g/cm³.

---

This record from the Alexandria database describes SrB3P after structural relaxation. The functional is PBE.

The space group is Pm-3m (No. 221) and the conventional cell measures 4.062, 4.062 and 4.062 Å, with angles of 90.00, 90.00 and 90.00 degrees. The asymmetric unit holds Sr at (0.000, 0.000, 0.000), B at (0.000, 0.500, 0.500) and P at (0.500, 0.500, 0.500).

For the formation energy from the elements, the calculation gives 505 kJ/mol of formula units. The total energy comes out at -4.38 eV/atom. As for the calculated density: 3.7 g/cm³.

---

This record from the Alexandria database describes Sr3BP after structural relaxation. The functional is PBE.

The space group is Pm-3m (No. 221) and the conventional cell measures 5.341, 5.341 and 5.341 Å, with angles of 90.00, 90.00 and 90.00 degrees. The asymmetric unit holds Sr at (0.000, 0.000, 0.500), B at (0.000, 0.000, 0.000) and P at (0.500, 0.500, 0.500).

For the formation energy from the elements, the calculation gives 44 kJ/mol of formula units. The total energy comes out at -3.33 eV/atom. As for the calculated density: 3.3 g/cm³.

---

This record from the Alexandria database describes Sr2BP after structural relaxation. The functional is PBE.

The space group is I-42d (No. 122) and the conventional cell measures 7.844, 7.844 and 7.338 Å, with angles of 90.00, 90.00 and 90.00 degrees. The asymmetric unit holds Sr at (0.240, 0.750, 0.125), B at (0.000, 0.000, 0.000) and P at (0.000, 0.000, 0.500).

For the formation energy from the elements, the calculation gives 133 kJ/mol of formula units. The total energy comes out at -3.52 eV/atom. As for the calculated density: 3.2 g/cm³.

---

This record from the Alexandria database describes Sr2BP after structural relaxation. The functional is PBE.

The space group is Fm-3m (No. 225) and the conventional cell measures 7.259, 7.259 and 7.259 Å, with angles of 90.00, 90.00 and 90.00 degrees. The asymmetric unit holds Sr at (0.250, 0.250, 0.250), B at (0.000, 0.000, 0.000) and P at (0.000, 0.000, 0.500).

For the formation energy from the elements, the calculation gives 51 kJ/mol of formula units. The total energy comes out at -3.73 eV/atom. As for the calculated density: 3.8 g/cm³.

---

This record from the Alexandria database describes SrBP3 after structural relaxation. The functional is PBE.

The space group is Pm-3m (No. 221) and the conventional cell measures 4.433, 4.433 and 4.433 Å, with angles of 90.00, 90.00 and 90.00 degrees. The asymmetric unit holds Sr at (0.000, 0.000, 0.000), B at (0.500, 0.500, 0.500) and P at (0.000, 0.500, 0.500).

For the formation energy from the elements, the calculation gives 155 kJ/mol of formula units. The total energy comes out at -4.60 eV/atom. As for the calculated density: 3.6 g/cm³.

---

This record from the Alexandria database describes SrB3P after structural relaxation. The functional is PBE.

The space group is Pm-3m (No. 221) and the conventional cell measures 4.884, 4.884 and 4.884 Å, with angles of 90.00, 90.00 and 90.00 degrees. The asymmetric unit holds Sr at (0.000, 0.000, 0.000), B at (0.000, 0.000, 0.500) and P at (0.500, 0.500, 0.500).

For the formation energy from the elements, the calculation gives 1490 kJ/mol of formula units. The total energy comes out at -2.34 eV/atom. As for the calculated density: 2.2 g/cm³.

---

This record from the Alexandria database describes SrBP after structural relaxation. The functional is PBE.

The space group is C2/m (No. 12) and the conventional cell measures 11.119, 3.619 and 6.101 Å, with angles of 90.00, 105.97 and 90.00 degrees. The asymmetric unit holds Sr at (0.104, 0.000, 0.252), B at (0.165, 0.500, 0.927) and P at (0.185, 0.000, 0.789).

For the formation energy from the elements, the calculation gives -53 kJ/mol of formula units. The total energy comes out at -4.77 eV/atom. As for the calculated density: 3.6 g/cm³.

---

This record from the Alexandria database describes SrBP3 after structural relaxation. The functional is PBE.

The space group is Pm-3m (No. 221) and the conventional cell measures 5.484, 5.484 and 5.484 Å, with angles of 90.00, 90.00 and 90.00 degrees. The asymmetric unit holds Sr at (0.000, 0.000, 0.000), B at (0.500, 0.500, 0.500) and P at (0.000, 0.000, 0.500).

For the formation energy from the elements, the calculation gives 1073 kJ/mol of formula units. The total energy comes out at -2.69 eV/atom. As for the calculated density: 1.9 g/cm³.